Record 1
Here is a relaxed structure of CaLa2Au4 from Alexandria. Energies are from GGA-PBE.

It has space group R-3m (No. 166, hexagonal axes), with a = 5.1475 Å, b = 5.1475 Å, c = 25.4428 Å, α = 90.00°, β = 90.00° and γ = 120.00°. Symmetry generates all atoms from Ca at (0.0000, 0.0000, 0.0000), La at (0.0000, 0.0000, 0.2421), Au at (0.0000, 0.0000, 0.1200) and Au at (0.0000, 0.0000, 0.3681).

Its total magnetization is 0.00 Bohr magnetons per cell. Its energy relative to the elements is -694 meV per atom.

Record 2
Here is a relaxed structure of Ba2InIrN from Alexandria. Energies are from GGA-PBE.

It has space group P4/mmm (No. 123), with a = 6.046 Å, b = 6.046 Å, c = 3.791 Å, α = 90.00°, β = 90.00° and γ = 90.00°. Symmetry generates all atoms from Ba at (0.000, 0.500, 0.000), In at (0.000, 0.000, 0.500), Ir at (0.500, 0.500, 0.500) and N at (0.500, 0.500, 0.000).

Its total magnetization is 0.00 Bohr magnetons per cell. The calculation puts the excess energy over the best structure of this formula in the dataset at 0 meV per atom. The calculation puts the formation energy from raw total energies at -0.411 eV/atom.

Record 3
Here is a relaxed structure of Ca3Ho2ErSe6 from Alexandria. Energies are from GGA-PBE.

It has space group C2/m (No. 12), with a = 7.093 Å, b = 12.272 Å, c = 7.205 Å, α = 90.00°, β = 109.19° and γ = 90.00°. Symmetry generates all atoms from Ca at (0.000, 0.000, 0.000), Ca at (0.000, 0.333, 0.000), Ho at (0.000, 0.166, 0.500), Er at (0.000, 0.500, 0.500), Se at (0.247, 0.334, 0.743) and Se at (0.249, 0.000, 0.744).

Its total magnetization is 0.00 Bohr magnetons per cell. The calculation puts the formation energy from raw total energies at -1.859 eV/atom.